Record 1
This record from Alexandria describes an optimized crystal structure of Li2YInO4. The functional is PBE.

Computed properties:
formation energy without anion corrections	-2.236	eV per atom
density of states at the Fermi level	0.00	states/eV per cell
raw total energy	-6.34	eV/atom

Lattice parameters (Å, degrees): 6.4432 6.4432 6.7271 121.29 121.29 87.17
Closest atoms and distances in Å follow each position.
Fractional positions:
Li 0.5000 0.0000 0.0000  6 O 2.17-2.41
Li 0.5000 0.0000 0.5000  6 O 2.17-2.41
Li 0.0000 0.0000 0.5000  6 O 2.20-2.46
Li 0.5000 0.5000 0.0000  6 O 2.20-2.46
Y 0.0000 0.5000 0.0000  6 O 2.28
Y 0.0000 0.5000 0.5000  6 O 2.28
In 0.5000 0.5000 0.5000  6 O 2.24-2.25
In 0.0000 0.0000 0.0000  6 O 2.24-2.25
O 0.2389 0.7338 0.9853  3 Li 2.20-2.41, 1 In 2.25, 2 Y 2.28
O 0.7661 0.2611 0.5147  3 Li 2.20-2.41, 1 In 2.25, 2 Y 2.28
O 0.2338 0.7389 0.4853  3 Li 2.20-2.41, 1 In 2.25, 2 Y 2.28
O 0.7611 0.2662 0.0147  3 Li 2.20-2.41, 1 In 2.25, 2 Y 2.28
O 0.7427 0.7551 0.9774  1 Li 2.17, 2 In 2.24, 1 Y 2.28
O 0.7449 0.7573 0.5226  1 Li 2.17, 2 In 2.24, 1 Y 2.28
O 0.2551 0.2428 0.4774  1 Li 2.17, 2 In 2.24, 1 Y 2.28
O 0.2573 0.2449 0.0226  1 Li 2.17, 2 In 2.24, 1 Y 2.28



Record 2
This record from Alexandria describes an optimized crystal structure of LiY2InO5. The functional is PBE.

Computed properties:
formation energy without anion corrections	-2.598	eV per atom
density of states at the Fermi level	0.00	states/eV per cell
raw total energy	-7.31	eV/atom

Lattice parameters (Å, degrees): 3.3009 6.8412 9.7538 90.00 90.00 103.96
Closest atoms and distances in Å follow each position.
Fractional positions:
Li 0.5150 0.0300 0.9821  4 O 1.88-2.04
Li 0.4850 0.9700 0.4821  4 O 1.88-2.04
Y 0.8767 0.7534 0.7942  6 O 2.34-2.47
Y 0.1088 0.2177 0.6844  8 O 2.35-2.59
Y 0.1233 0.2466 0.2942  6 O 2.34-2.47
Y 0.8912 0.7823 0.1844  8 O 2.35-2.59
In 0.8018 0.6035 0.5002  6 O 2.13-2.29
In 0.1982 0.3965 0.0002  6 O 2.13-2.29
O 0.3625 0.7249 0.0038  1 Li 2.04, 1 In 2.18
O 0.6985 0.3971 0.8494  2 In 2.21, 1 Y 2.43
O 0.5009 0.0019 0.7837  1 Li 1.94
O 0.2881 0.5762 0.6614  2 In 2.29, 3 Y 2.39-2.41
O 0.9548 0.9097 0.5648  2 Li 1.88
O 0.6375 0.2751 0.5038  1 Li 2.04, 1 In 2.18
O 0.3015 0.6029 0.3494  2 In 2.21, 1 Y 2.43
O 0.4991 0.9981 0.2837  1 Li 1.94
O 0.7119 0.4238 0.1614  2 In 2.29, 3 Y 2.39-2.41
O 0.0452 0.0903 0.0648  2 Li 1.88